No. 1
Zr2Ni2H6Pd: relaxed, PBE-GGA.

Cell lengths 6.2526, 6.2526, 6.2526 Å; angles 41.44, 41.44, 41.44 degrees
With the nearest neighbours (Å) after each atom.
Positions (direct):
Zr 0.2240 0.2240 0.2240  9 H 2.21-2.28
Zr 0.7760 0.7760 0.7760  9 H 2.21-2.28
Ni 0.3825 0.3825 0.3825  3 H 1.69
Ni 0.6175 0.6175 0.6175  3 H 1.69
H 0.2179 0.7208 0.7208  1 Ni 1.69
H 0.2792 0.2792 0.7821  1 Ni 1.69
H 0.2792 0.7821 0.2792  1 Ni 1.69
H 0.7208 0.2179 0.7208  1 Ni 1.69
H 0.7208 0.7208 0.2179  1 Ni 1.69
H 0.7821 0.2792 0.2792  1 Ni 1.69
Pd 0.0000 0.0000 0.0000  6 H 2.32

Computed properties:
The value obtained for the volume is 8.8 Å³/atom. Its final energy is -56.72 eV per cell.

***

No. 2
Pm6Ni3H: relaxed, PBE-GGA.

Cell lengths 8.7778, 8.7778, 6.6613 Å; angles 90.00, 90.00, 103.65 degrees
With the nearest neighbours (Å) after each atom.
Positions (direct):
Pm 0.0457 0.9543 0.5000  1 H 2.35
Pm 0.1151 0.5570 0.4259  1 H 2.33
Pm 0.2261 0.7739 0.9477  1 H 2.34
Pm 0.2947 0.3624 0.9331  4 Ni 2.77-3.05
Pm 0.3624 0.2947 0.4331  4 Ni 2.77-3.05
Pm 0.4430 0.8849 0.4259  1 H 2.33
Pm 0.5570 0.1151 0.9259  1 H 2.33
Pm 0.6376 0.7053 0.9331  4 Ni 2.77-3.05
Pm 0.7053 0.6376 0.4331  4 Ni 2.77-3.05
Pm 0.7739 0.2261 0.4477  1 H 2.34
Pm 0.8849 0.4430 0.9259  1 H 2.33
Pm 0.9543 0.0457 0.0000  1 H 2.35
Ni 0.0545 0.2681 0.6573  7 Pm 2.77-3.05
Ni 0.2681 0.0545 0.1573  7 Pm 2.77-3.05
Ni 0.3986 0.6014 0.2219  7 Pm 2.78-3.00
Ni 0.6014 0.3986 0.7219  7 Pm 2.78-3.00
Ni 0.7319 0.9455 0.6573  7 Pm 2.77-3.05
Ni 0.9455 0.7319 0.1573  7 Pm 2.77-3.05
H 0.2091 0.7909 0.5979  4 Pm 2.33-2.35
H 0.7909 0.2091 0.0979  4 Pm 2.33-2.35

Computed properties:
The value obtained for the volume is 24.9 Å³/atom. Its final energy is -102.77 eV per cell.

***

No. 3
Pm6Ni2H: relaxed, PBE-GGA.

Cell lengths 6.4863, 6.9883, 11.8338 Å; angles 90.00, 122.82, 90.00 degrees
With the nearest neighbours (Å) after each atom.
Positions (direct):
Pm 0.1047 0.0346 0.2526  1 H 2.66, 2 Ni 2.82-2.92
Pm 0.1047 0.4654 0.7526  1 H 2.66, 2 Ni 2.82-2.92
Pm 0.2377 0.6747 0.0663  1 H 2.54, 1 Ni 2.81
Pm 0.2377 0.8253 0.5663  1 H 2.54, 1 Ni 2.81
Pm 0.3913 0.1746 0.0674  1 H 2.63, 2 Ni 2.80-2.87
Pm 0.3913 0.3254 0.5674  1 H 2.63, 2 Ni 2.80-2.87
Pm 0.6087 0.6746 0.4326  1 H 2.63, 2 Ni 2.80-2.87
Pm 0.6087 0.8254 0.9326  1 H 2.63, 2 Ni 2.80-2.87
Pm 0.7623 0.1747 0.4337  1 H 2.54, 1 Ni 2.81
Pm 0.7623 0.3253 0.9337  1 H 2.54, 1 Ni 2.81
Pm 0.8953 0.5346 0.2474  1 H 2.66, 2 Ni 2.82-2.92
Pm 0.8953 0.9654 0.7474  1 H 2.66, 2 Ni 2.82-2.92
Ni 0.3198 0.1145 0.7515  6 Pm 2.80-2.92
Ni 0.3198 0.3855 0.2515  6 Pm 2.80-2.92
Ni 0.6802 0.6145 0.7485  6 Pm 2.80-2.92
Ni 0.6802 0.8855 0.2485  6 Pm 2.80-2.92
H 0.5000 0.0000 0.5000  6 Pm 2.54-2.66
H 0.5000 0.5000 0.0000  6 Pm 2.54-2.66

Computed properties:
The value obtained for the volume is 25.0 Å³/atom. Its final energy is -91.23 eV per cell.

***

No. 4
PmNi2H7: relaxed, PBE-GGA.

Cell lengths 4.9620, 4.9620, 3.5742 Å; angles 90.00, 90.00, 122.34 degrees
With the nearest neighbours (Å) after each atom.
Positions (direct):
Pm 0.0000 0.0000 0.0000  8 H 2.34
Ni 0.3133 0.6867 0.5000  5 H 1.59-1.69
Ni 0.6867 0.3133 0.5000  5 H 1.59-1.69
H 0.0305 0.3205 0.5000  2 Ni 1.59-1.69, 1 H 1.68
H 0.3205 0.0305 0.5000  2 Ni 1.59-1.69, 1 H 1.68
H 0.3239 0.6761 0.0000  2 Ni 1.79
H 0.5000 0.5000 0.5000  2 Ni 1.62
H 0.6761 0.3239 0.0000  2 Ni 1.79
H 0.6795 0.9695 0.5000  2 Ni 1.59-1.69, 1 H 1.68
H 0.9695 0.6795 0.5000  2 Ni 1.59-1.69, 1 H 1.68

Computed properties:
The value obtained for the volume is 7.4 Å³/atom. Its final energy is -41.74 eV per cell.

***

No. 5
PmNiH6: relaxed, PBE-GGA.

Cell lengths 5.2781, 5.2781, 5.2781 Å; angles 60.00, 60.00, 60.00 degrees
With the nearest neighbours (Å) after each atom.
Positions (direct):
Pm 0.0000 0.0000 0.0000  6 H 2.19
Ni 0.5000 0.5000 0.5000  6 H 1.54
H 0.2936 0.2936 0.7064  1 Ni 1.54
H 0.2936 0.7064 0.2936  1 Ni 1.54
H 0.2936 0.7064 0.7064  1 Ni 1.54
H 0.7064 0.2936 0.2936  1 Ni 1.54
H 0.7064 0.2936 0.7064  1 Ni 1.54
H 0.7064 0.7064 0.2936  1 Ni 1.54

Computed properties:
The value obtained for the volume is 13.0 Å³/atom. Its final energy is -30.30 eV per cell.

***

No. 6
PmNi3H6: relaxed, PBE-GGA.

Cell lengths 5.4515, 5.4515, 5.4515 Å; angles 48.63, 48.63, 48.63 degrees
With the nearest neighbours (Å) after each atom.
Positions (direct):
Pm 0.0000 0.0000 0.0000  9 H 2.34-2.44
Ni 0.2094 0.2094 0.2094  6 H 1.64-1.78
Ni 0.5380 0.5380 0.5380  6 H 1.68-1.74
Ni 0.8043 0.8043 0.8043  3 H 1.62
H 0.1653 0.4419 0.8024  3 Ni 1.62-1.78
H 0.4374 0.9450 0.4552  2 Ni 1.64-1.68
H 0.4419 0.8024 0.1653  3 Ni 1.62-1.78
H 0.4552 0.4374 0.9450  2 Ni 1.64-1.68
H 0.8024 0.1653 0.4419  3 Ni 1.62-1.78
H 0.9450 0.4552 0.4374  2 Ni 1.64-1.68

Computed properties:
The value obtained for the volume is 8.4 Å³/atom. Its final energy is -44.94 eV per cell.

***

No. 7
PmNi6H8: relaxed, PBE-GGA.

Cell lengths 4.9702, 4.9702, 4.9702 Å; angles 96.22, 96.22, 96.22 degrees
With the nearest neighbours (Å) after each atom.
Positions (direct):
Pm 0.0000 0.0000 0.0000  8 H 2.35-2.43
Ni 0.1588 0.5954 0.3483  4 H 1.65-1.73
Ni 0.3483 0.1588 0.5954  4 H 1.65-1.73
Ni 0.4046 0.6517 0.8412  4 H 1.65-1.73
Ni 0.5954 0.3483 0.1588  4 H 1.65-1.73
Ni 0.6517 0.8412 0.4046  4 H 1.65-1.73
Ni 0.8412 0.4046 0.6517  4 H 1.65-1.73
H 0.1605 0.3719 0.7556  3 Ni 1.65-1.73
H 0.2444 0.8395 0.6281  3 Ni 1.65-1.73
H 0.3089 0.3089 0.3089  3 Ni 1.68
H 0.3719 0.7556 0.1605  3 Ni 1.65-1.73
H 0.6281 0.2444 0.8395  3 Ni 1.65-1.73
H 0.6911 0.6911 0.6911  3 Ni 1.68
H 0.7556 0.1605 0.3719  3 Ni 1.65-1.73
H 0.8395 0.6281 0.2444  3 Ni 1.65-1.73

Computed properties:
The value obtained for the volume is 8.0 Å³/atom. Its final energy is -68.25 eV per cell.

***

No. 8
Pm2NiH: relaxed, PBE-GGA.

Cell lengths 7.1430, 7.1430, 7.1430 Å; angles 30.39, 30.39, 30.39 degrees
With the nearest neighbours (Å) after each atom.
Positions (direct):
Pm 0.0000 0.0000 0.0000  3 H 2.75, 3 Ni 2.76
Pm 0.1654 0.1654 0.1654  3 H 2.73, 3 Ni 2.76
Ni 0.5826 0.5826 0.5826  6 Pm 2.76
H 0.4168 0.4168 0.4168  6 Pm 2.73-2.75

Computed properties:
The energy above the most stable polymorph in this dataset is 78.6 meV/atom. The value obtained for the volume is 20.7 Å³/atom.

***

No. 9
Pm2NiH4: relaxed, PBE-GGA.

Cell lengths 6.8611, 6.8611, 6.8611 Å; angles 149.91, 149.91, 43.07 degrees
With the nearest neighbours (Å) after each atom.
Positions (direct):
Pm 0.1470 0.1470 0.0000  9 H 2.52-2.65
Pm 0.8530 0.8530 0.0000  9 H 2.52-2.65
Ni 0.5000 0.5000 0.0000  6 H 1.78-1.86
H 0.0000 0.5000 0.5000  2 Ni 1.78
H 0.3544 0.3544 0.0000  1 Ni 1.86
H 0.5000 0.0000 0.5000  2 Ni 1.78
H 0.6456 0.6456 0.0000  1 Ni 1.86

Computed properties:
The value obtained for the volume is 11.6 Å³/atom. Its final energy is -31.51 eV per cell.

***

No. 10
PmNiH2: relaxed, PBE-GGA.

Cell lengths 3.5327, 3.5478, 3.6309 Å; angles 90.00, 90.00, 90.00 degrees
With the nearest neighbours (Å) after each atom.
Positions (direct):
Pm 0.0000 0.0000 0.0000  8 H 2.50-2.54
Ni 0.5000 0.5000 0.5000  4 H 1.77-1.82
H 0.0000 0.5000 0.5000  2 Ni 1.77
H 0.5000 0.5000 0.0000  2 Ni 1.82

Computed properties:
The energy above the most stable polymorph in this dataset is 0.0 meV/atom. The value obtained for the volume is 11.4 Å³/atom.

***

No. 11
Pm2NiH: relaxed, PBE-GGA.

Cell lengths 3.3051, 3.3051, 6.9943 Å; angles 90.00, 90.00, 90.00 degrees
With the nearest neighbours (Å) after each atom.
Positions (direct):
Pm 0.0000 0.0000 0.2475  4 H 2.91, 4 Ni 2.93
Pm 0.0000 0.0000 0.7525  4 H 2.91, 4 Ni 2.93
Ni 0.5000 0.5000 0.5000  8 Pm 2.93
H 0.5000 0.5000 0.0000  8 Pm 2.91

Computed properties:
The energy above the most stable polymorph in this dataset is 183.6 meV/atom. The value obtained for the volume is 19.1 Å³/atom.

***

No. 12
PmNiH3: relaxed, PBE-GGA.

Cell lengths 3.6012, 3.6012, 3.6012 Å; angles 90.00, 90.00, 90.00 degrees
With the nearest neighbours (Å) after each atom.
Positions (direct):
Pm 0.0000 0.0000 0.0000  12 H 2.55
Ni 0.5000 0.5000 0.5000  6 H 1.80
H 0.0000 0.5000 0.5000  2 Ni 1.80
H 0.5000 0.0000 0.5000  2 Ni 1.80
H 0.5000 0.5000 0.0000  2 Ni 1.80

Computed properties:
The value obtained for the volume is 9.3 Å³/atom. Its final energy is -22.90 eV per cell.

***

No. 13
Pm2NiH: relaxed, PBE-GGA.

Cell lengths 6.5317, 6.5317, 6.5317 Å; angles 35.07, 35.07, 35.07 degrees
With the nearest neighbours (Å) after each atom.
Positions (direct):
Pm 0.2454 0.2454 0.2454  3 H 2.69, 3 Ni 2.79
Pm 0.7546 0.7546 0.7546  3 H 2.69, 3 Ni 2.79
Ni 0.0000 0.0000 0.0000  6 Pm 2.79
H 0.5000 0.5000 0.5000  6 Pm 2.69

Computed properties:
The energy above the most stable polymorph in this dataset is 0.0 meV/atom. The value obtained for the volume is 20.5 Å³/atom.

***

No. 14
Pm2NiH8: relaxed, PBE-GGA.

Cell lengths 6.8659, 6.8659, 4.3235 Å; angles 108.34, 108.34, 32.46 degrees
With the nearest neighbours (Å) after each atom.
Positions (direct):
Pm 0.1454 0.1454 0.1458  6 H 2.15-2.33
Pm 0.8546 0.8546 0.8542  6 H 2.15-2.33
Ni 0.5000 0.5000 0.5000  4 H 1.58
H 0.0000 0.0000 0.2694  1 H 1.99, 2 Pm 2.15-2.16, 2 Ni 2.16
H 0.0000 0.0000 0.7306  1 H 1.99, 2 Pm 2.15-2.16, 2 Ni 2.16
H 0.2358 0.2358 0.7355  2 H 2.37, 4 Pm 2.42-2.44
H 0.4011 0.4011 0.1734  1 Ni 1.58
H 0.4021 0.4021 0.6342  1 Ni 1.58
H 0.5979 0.5979 0.3658  1 Ni 1.58
H 0.5989 0.5989 0.8266  1 Ni 1.58
H 0.7642 0.7642 0.2645  2 H 2.37, 4 Pm 2.42-2.44

Computed properties:
The value obtained for the volume is 9.4 Å³/atom. Its final energy is -45.33 eV per cell.

***

No. 15
PmNi5H7: relaxed, PBE-GGA.

Cell lengths 5.4135, 5.4135, 5.4135 Å; angles 125.93, 94.24, 109.83 degrees
With the nearest neighbours (Å) after each atom.
Positions (direct):
Pm 0.0000 0.0000 0.0000  4 H 2.22-2.39
Ni 0.3152 0.2390 0.5987  4 H 1.66-1.84
Ni 0.3152 0.7165 0.0762  4 H 1.66-1.84
Ni 0.6403 0.2390 0.9238  4 H 1.66-1.84
Ni 0.6403 0.7165 0.4013  4 H 1.66-1.84
Ni 0.7924 0.2924 0.5000  4 H 1.72-1.76
H 0.1535 0.4941 0.6593  3 Ni 1.72-1.76
H 0.3565 0.3565 0.0000  1 H 1.62
H 0.3888 0.8888 0.5000  4 Ni 1.84
H 0.4388 0.1408 0.2980  3 Ni 1.66-1.76
H 0.6167 0.6167 0.0000  1 H 1.62
H 0.8348 0.4941 0.3407  3 Ni 1.72-1.76
H 0.8429 0.1408 0.7020  3 Ni 1.66-1.76

Computed properties:
The value obtained for the volume is 8.7 Å³/atom. Its final energy is -57.29 eV per cell.

***

No. 16
PmNi2H6: relaxed, PBE-GGA.

Cell lengths 4.4277, 4.4277, 4.2086 Å; angles 90.00, 90.00, 120.00 degrees
With the nearest neighbours (Å) after each atom.
Positions (direct):
Pm 0.0000 0.0000 0.0000  12 H 2.46
Ni 0.3333 0.6667 0.5000  6 H 1.64
Ni 0.6667 0.3333 0.5000  6 H 1.64
H 0.0000 0.5000 0.2553  2 Ni 1.64
H 0.0000 0.5000 0.7447  2 Ni 1.64
H 0.5000 0.0000 0.2553  2 Ni 1.64
H 0.5000 0.0000 0.7447  2 Ni 1.64
H 0.5000 0.5000 0.2553  2 Ni 1.64
H 0.5000 0.5000 0.7447  2 Ni 1.64

Computed properties:
The value obtained for the volume is 7.9 Å³/atom. Its final energy is -40.01 eV per cell.

***

No. 17
PmNiH2: relaxed, PBE-GGA.

Cell lengths 4.4306, 4.4306, 4.4306 Å; angles 54.26, 54.26, 54.26 degrees
With the nearest neighbours (Å) after each atom.
Positions (direct):
Pm 0.0000 0.0000 0.0000  6 H 2.36
Ni 0.5000 0.5000 0.5000  2 H 1.55
H 0.3628 0.3628 0.3628  1 Ni 1.55
H 0.6372 0.6372 0.6372  1 Ni 1.55

Computed properties:
The energy above the most stable polymorph in this dataset is 47.0 meV/atom. The value obtained for the volume is 13.3 Å³/atom.

***

No. 18
PmNi3H: relaxed, PBE-GGA.

Cell lengths 3.9538, 3.9538, 3.9538 Å; angles 90.00, 90.00, 90.00 degrees
With the nearest neighbours (Å) after each atom.
Positions (direct):
Pm 0.0000 0.0000 0.0000  12 Ni 2.80
Ni 0.0000 0.5000 0.5000  2 H 1.98
Ni 0.5000 0.0000 0.5000  2 H 1.98
Ni 0.5000 0.5000 0.0000  2 H 1.98
H 0.5000 0.5000 0.5000  6 Ni 1.98

Computed properties:
The value obtained for the volume is 12.4 Å³/atom. Its final energy is -26.07 eV per cell.

***

No. 19
Pm3NiH: relaxed, PBE-GGA.

Cell lengths 9.8580, 7.1735, 6.8934 Å; angles 90.00, 102.69, 90.00 degrees
With the nearest neighbours (Å) after each atom.
Positions (direct):
Pm 0.0479 0.1856 0.1995  3 Ni 2.72-2.96
Pm 0.0479 0.3144 0.6995  3 Ni 2.72-2.96
Pm 0.3187 0.6314 0.5056  2 H 2.32-2.34
Pm 0.3187 0.8686 0.0056  2 H 2.32-2.34
Pm 0.3707 0.1331 0.5739  2 H 2.25-2.29
Pm 0.3707 0.3669 0.0739  2 H 2.25-2.29
Pm 0.6293 0.6331 0.9261  2 H 2.25-2.29
Pm 0.6293 0.8669 0.4261  2 H 2.25-2.29
Pm 0.6813 0.1314 0.9944  2 H 2.32-2.34
Pm 0.6813 0.3686 0.4944  2 H 2.32-2.34
Pm 0.9521 0.6856 0.3005  3 Ni 2.72-2.96
Pm 0.9521 0.8144 0.8005  3 Ni 2.72-2.96
Ni 0.1284 0.5580 0.0767  1 Ni 2.65, 4 Pm 2.72-2.96
Ni 0.1284 0.9420 0.5767  1 Ni 2.65, 4 Pm 2.72-2.96
Ni 0.8716 0.0580 0.4233  1 Ni 2.65, 4 Pm 2.72-2.96
Ni 0.8716 0.4420 0.9233  1 Ni 2.65, 4 Pm 2.72-2.96
H 0.4398 0.1199 0.9075  4 Pm 2.25-2.34, 1 H 2.31
H 0.4398 0.3801 0.4075  4 Pm 2.25-2.34, 1 H 2.31
H 0.5602 0.6199 0.5925  4 Pm 2.25-2.34, 1 H 2.31
H 0.5602 0.8801 0.0925  4 Pm 2.25-2.34, 1 H 2.31

Computed properties:
The value obtained for the volume is 23.8 Å³/atom. Its final energy is -98.44 eV per cell.

***

No. 20
Pm2NiH6Pt: relaxed, PBE-GGA.

Cell lengths 5.3889, 5.3889, 5.3889 Å; angles 124.45, 124.45, 82.45 degrees
With the nearest neighbours (Å) after each atom.
Positions (direct):
Pm 0.2500 0.7500 0.5000  12 H 2.54-2.69
Pm 0.7500 0.2500 0.5000  12 H 2.54-2.69
Ni 0.0000 0.0000 0.0000  6 H 1.65-1.75
H 0.2037 0.2037 0.0000  1 Ni 1.65
H 0.2459 0.2459 0.4917  1 Ni 1.75, 1 Pt 1.81
H 0.2459 0.7541 0.0000  1 Ni 1.75, 1 Pt 1.81
H 0.7541 0.2459 0.0000  1 Ni 1.75, 1 Pt 1.81
H 0.7541 0.7541 0.5083  1 Ni 1.75, 1 Pt 1.81
H 0.7963 0.7963 0.0000  1 Ni 1.65
Pt 0.5000 0.5000 0.0000  4 H 1.81

Computed properties:
The value obtained for the volume is 10.2 Å³/atom. Its final energy is -46.27 eV per cell.